# 1
# AsPd2Se

An optimized crystal structure of AsPd2Se (GGA-PBE, Alexandria).

```
data_AsPd2Se
_space_group_name_H-M_alt 'I -4 2 d'
_space_group_IT_number 122
_space_group_name_Hall 'I -4 2bw'
_cell_length_a 6.3512
_cell_length_b 6.3512
_cell_length_c 8.3670
_cell_angle_alpha 90.00
_cell_angle_beta 90.00
_cell_angle_gamma 90.00
loop_
_atom_site_label
_atom_site_type_symbol
_atom_site_fract_x
_atom_site_fract_y
_atom_site_fract_z
_atom_site_occupancy
As1 As 0.0000 0.0000 0.0000 1
Pd1 Pd 0.2401 0.2500 0.1250 1
Se1 Se 0.0000 0.0000 0.5000 1
```


# 2
# AsPdSe2

An optimized crystal structure of AsPdSe2 (GGA-PBE, Alexandria).

```
data_AsPdSe2
_space_group_name_H-M_alt 'R -3 m'
_space_group_IT_number 166
_space_group_name_Hall '-R 3 2"'
_cell_length_a 3.6959
_cell_length_b 3.6959
_cell_length_c 23.9573
_cell_angle_alpha 90.00
_cell_angle_beta 90.00
_cell_angle_gamma 120.00
loop_
_atom_site_label
_atom_site_type_symbol
_atom_site_fract_x
_atom_site_fract_y
_atom_site_fract_z
_atom_site_occupancy
As1 As 0.0000 0.0000 0.0000 1
Pd1 Pd 0.0000 0.0000 0.5000 1
Se1 Se 0.0000 0.0000 0.1084 1
```


# 3
# As2PdSe

An optimized crystal structure of As2PdSe (GGA-PBE, Alexandria).

```
data_As2PdSe
_space_group_name_H-M_alt 'I -4 2 d'
_space_group_IT_number 122
_space_group_name_Hall 'I -4 2bw'
_cell_length_a 5.8305
_cell_length_b 5.8305
_cell_length_c 11.8092
_cell_angle_alpha 90.00
_cell_angle_beta 90.00
_cell_angle_gamma 90.00
loop_
_atom_site_label
_atom_site_type_symbol
_atom_site_fract_x
_atom_site_fract_y
_atom_site_fract_z
_atom_site_occupancy
As1 As 0.2156 0.2500 0.1250 1
Pd1 Pd 0.0000 0.0000 0.0000 1
Se1 Se 0.0000 0.0000 0.5000 1
```


# 4
# AsPd4Se2

An optimized crystal structure of AsPd4Se2 (GGA-PBE, Alexandria).

```
data_AsPd4Se2
_space_group_name_H-M_alt 'I 4/m m m'
_space_group_IT_number 139
_space_group_name_Hall '-I 4 2'
_cell_length_a 4.7616
_cell_length_b 4.7616
_cell_length_c 12.8573
_cell_angle_alpha 90.00
_cell_angle_beta 90.00
_cell_angle_gamma 90.00
loop_
_atom_site_label
_atom_site_type_symbol
_atom_site_fract_x
_atom_site_fract_y
_atom_site_fract_z
_atom_site_occupancy
As1 As 0.0000 0.0000 0.0000 1
Pd1 Pd 0.0000 0.0000 0.1848 1
Pd2 Pd 0.0000 0.5000 0.0000 1
Se1 Se 0.0000 0.0000 0.3751 1
```


# 5
# AsPd2Se

An optimized crystal structure of AsPd2Se (GGA-PBE, Alexandria).

```
data_AsPd2Se
_space_group_name_H-M_alt 'P 1 21/c 1'
_space_group_IT_number 14
_space_group_name_Hall '-P 2ybc'
_cell_length_a 8.0655
_cell_length_b 6.3284
_cell_length_c 5.8670
_cell_angle_alpha 90.00
_cell_angle_beta 97.54
_cell_angle_gamma 90.00
loop_
_atom_site_label
_atom_site_type_symbol
_atom_site_fract_x
_atom_site_fract_y
_atom_site_fract_z
_atom_site_occupancy
As1 As 0.1091 0.0823 0.3252 1
Pd1 Pd 0.1177 0.6995 0.5066 1
Pd2 Pd 0.3347 0.2153 0.0705 1
Se1 Se 0.3654 0.5719 0.2751 1
```


# 6
# AsPd4Se

An optimized crystal structure of AsPd4Se (GGA-PBE, Alexandria).

```
data_AsPd4Se
_space_group_name_H-M_alt 'P n m a'
_space_group_IT_number 62
_space_group_name_Hall '-P 2ac 2n'
_cell_length_a 6.6392
_cell_length_b 3.6537
_cell_length_c 16.4246
_cell_angle_alpha 90.00
_cell_angle_beta 90.00
_cell_angle_gamma 90.00
loop_
_atom_site_label
_atom_site_type_symbol
_atom_site_fract_x
_atom_site_fract_y
_atom_site_fract_z
_atom_site_occupancy
As1 As 0.1682 0.2500 0.1854 1
Pd1 Pd 0.0450 0.2500 0.3261 1
Pd2 Pd 0.0660 0.7500 0.9361 1
Pd3 Pd 0.1130 0.2500 0.7972 1
Pd4 Pd 0.2285 0.2500 0.5883 1
Se1 Se 0.1626 0.7500 0.4363 1
```


| no. | total magnetic moment (μB/f.u.) | formation energy from raw total energies (kJ per mole of atoms) |
| --- | --- | --- |
| 1 | 0.00 | -9 |
| 2 | 0.00 | 6 |
| 3 | 0.00 | 5 |
| 4 | 0.00 | 15 |
| 5 | 0.00 | -31 |
| 6 | 0.00 | -28 |